# RbMg2SiAs, relaxed, DFT PBE-GGA
# Final energy (eV/atom): -2.4909
# Formation energy from raw total energies (eV/atom): 0.355
# Total magnetic moment (μB per cell): 0.00
data_RbMg2SiAs
_cell_length_a 5.3241
_cell_length_b 5.3241
_cell_length_c 5.3344
_cell_angle_alpha 90.00
_cell_angle_beta 90.00
_cell_angle_gamma 90.00
_space_group_name_H-M_alt 'P 4/m m m'
_space_group_IT_number 123
_space_group_name_Hall '-P 4 2'
loop_
_atom_site_label
_atom_site_fract_x
_atom_site_fract_y
_atom_site_fract_z
Rb1 0.0000 0.0000 0.0000
Mg1 0.0000 0.5000 0.5000
Si1 0.5000 0.5000 0.0000
As1 0.5000 0.5000 0.5000


# RbMgSn2As, relaxed, DFT PBE-GGA
# Final energy (eV/atom): -1.7404
# ΔH_f (0 K) (eV per atom): 1.303
# Total magnetic moment (μB per cell): 0.00
data_RbMgSn2As
_cell_length_a 6.0831
_cell_length_b 6.0831
_cell_length_c 5.6542
_cell_angle_alpha 90.00
_cell_angle_beta 90.00
_cell_angle_gamma 90.00
_space_group_name_H-M_alt 'P 4/m m m'
_space_group_IT_number 123
_space_group_name_Hall '-P 4 2'
loop_
_atom_site_label
_atom_site_fract_x
_atom_site_fract_y
_atom_site_fract_z
Rb1 0.0000 0.0000 0.0000
Mg1 0.5000 0.5000 0.5000
Sn1 0.0000 0.5000 0.0000
As1 0.0000 0.0000 0.5000


# Mg2ReAs2, relaxed, DFT PBE-GGA
# Final energy (eV/atom): -5.0985
# ΔH_f (0 K) (eV per atom): -0.111
# Total magnetic moment (μB per cell): 0.00
data_Mg2ReAs2
_cell_length_a 6.4182
_cell_length_b 6.4182
_cell_length_c 4.3868
_cell_angle_alpha 90.00
_cell_angle_beta 90.00
_cell_angle_gamma 90.00
_space_group_name_H-M_alt 'P 4/m b m'
_space_group_IT_number 127
_space_group_name_Hall '-P 4 2ab'
loop_
_atom_site_label
_atom_site_fract_x
_atom_site_fract_y
_atom_site_fract_z
Mg1 0.1837 0.3163 0.0000
Re1 0.0000 0.0000 0.5000
As1 0.1392 0.6392 0.5000


# MgReAs2, relaxed, DFT PBE-GGA
# Final energy (eV/atom): -5.5726
# ΔH_f (0 K) (eV per atom): 0.263
# Total magnetic moment (μB per cell): 0.00
data_MgReAs2
_cell_length_a 3.2520
_cell_length_b 4.7828
_cell_length_c 9.8936
_cell_angle_alpha 90.00
_cell_angle_beta 90.00
_cell_angle_gamma 90.00
_space_group_name_H-M_alt 'C m m 2'
_space_group_IT_number 35
loop_
_space_group_symop_operation_xyz
'x,y,z'
'-x,-y,z'
'-x,y,z'
'x,-y,z'
'x+1/2,y+1/2,z'
'-x+1/2,-y+1/2,z'
'-x+1/2,y+1/2,z'
'x+1/2,-y+1/2,z'
loop_
_atom_site_label
_atom_site_fract_x
_atom_site_fract_y
_atom_site_fract_z
Mg1 0.0000 0.0000 0.0000
Re1 0.0000 0.5000 0.7691
As1 0.0000 0.0000 0.5792
As2 0.0000 0.5000 0.2265


- Which formula does entry 2 have?
  RbMgSn2As


- Look up the final energy of the second one.
  -1.7404 eV/atom